i) CdSi2Te: relaxed, PBE-GGA.

a b c (Å): 3.5993 5.0313 4.7663
angles (deg): 90.00 90.00 90.00
Closest atoms and distances in Å follow each position.
Sites, in units of the cell vectors:
Cd1 0.0000 0.5000 0.5000  4 Si 2.99, 4 Te 3.09
Te1 0.5000 0.0000 0.5000  4 Si 2.99, 4 Cd 3.09
Si1 0.0000 0.0000 0.0000  4 Te 2.99, 4 Si 3.09
Si2 0.5000 0.5000 0.0000  4 Cd 2.99, 4 Si 3.09

Its space group is Pmmm, No. 47. The calculation puts the total moment at 0.00 μB per cell. The value obtained for the calculated volume is 86.3 Å³ per cell.



ii) CdSi2Te: relaxed, PBE-GGA.

a b c (Å): 5.4865 5.4865 7.1832
angles (deg): 52.07 52.07 38.25
Closest atoms and distances in Å follow each position.
Sites, in units of the cell vectors:
Si1 0.0086 0.0086 0.1222  2 Si 2.49
Si2 0.4914 0.4914 0.3778  2 Si 2.49
Cd1 0.2500 0.2500 0.2500  6 Si 2.84-3.18
Te1 0.7500 0.7500 0.7500  4 Si 2.82

Its space group is C2/m, No. 12. The calculation puts the total moment at 0.00 μB per cell. The value obtained for the calculated volume is 101.6 Å³ per cell.



Most favorable first, least favorable last: ii), i)



i) Ti3CdSi: relaxed, PBE-GGA.

a b c (Å): 4.6511 4.6511 4.6511
angles (deg): 90.00 90.00 90.00
Closest atoms and distances in Å follow each position.
Sites, in units of the cell vectors:
Ti1 0.5000 0.0000 0.0000  2 Si 2.33
Ti2 0.0000 0.5000 0.0000  2 Si 2.33
Ti3 0.0000 0.0000 0.5000  2 Si 2.33
Cd1 0.5000 0.5000 0.5000  12 Ti 3.29
Si1 0.0000 0.0000 0.0000  6 Ti 2.33

Its space group is Pm-3m, No. 221. The calculation puts the total moment at 0.00 μB per cell. The value obtained for the calculated volume is 100.6 Å³ per cell.



ii) Ti3CdSi: relaxed, PBE-GGA.

a b c (Å): 4.8878 4.8878 4.8878
angles (deg): 90.00 90.00 90.00
Closest atoms and distances in Å follow each position.
Sites, in units of the cell vectors:
Ti1 0.0000 0.0000 0.5000  2 Cd 2.44
Ti2 0.5000 0.0000 0.0000  2 Cd 2.44
Ti3 0.0000 0.5000 0.0000  2 Cd 2.44
Si1 0.5000 0.5000 0.5000  12 Ti 3.46
Cd1 0.0000 0.0000 0.0000  6 Ti 2.44

Its space group is Pm-3m, No. 221. The calculation puts the total moment at 1.97 μB per cell. The value obtained for the calculated volume is 116.8 Å³ per cell.



Most favorable first, least favorable last: i), ii)



i) TlCdSi2: relaxed, PBE-GGA.

a b c (Å): 4.9512 4.9512 4.9512
angles (deg): 60.00 60.00 60.00
Closest atoms and distances in Å follow each position.
Sites, in units of the cell vectors:
Cd1 0.5000 0.5000 0.5000  4 Si 3.03, 4 Tl 3.03
Tl1 0.7500 0.7500 0.7500  4 Cd 3.03, 4 Si 3.03
Si1 0.2500 0.2500 0.2500  4 Cd 3.03, 4 Si 3.03
Si2 0.0000 0.0000 0.0000  4 Tl 3.03, 4 Si 3.03

Its space group is F-43m, No. 216. The calculation puts the total moment at 0.00 μB per cell. The value obtained for the calculated volume is 85.8 Å³ per cell.



ii) TlCdSi2: relaxed, PBE-GGA.

a b c (Å): 4.7546 3.8175 5.4945
angles (deg): 87.74 90.00 90.00
Closest atoms and distances in Å follow each position.
Sites, in units of the cell vectors:
Si1 0.0000 0.4935 0.6091  2 Si 2.37-2.54
Si2 0.0000 0.0065 0.8909  2 Si 2.37-2.54
Tl1 0.5000 0.2500 0.2500  4 Si 3.25, 4 Cd 3.28-3.41
Cd1 0.5000 0.7500 0.7500  4 Si 2.70

Its space group is P2/m, No. 10. The calculation puts the total moment at 0.00 μB per cell. The value obtained for the calculated volume is 99.7 Å³ per cell.



Most favorable first, least favorable last: ii), i)



i) TlCdSi2: relaxed, PBE-GGA.

a b c (Å): 5.4038 5.4038 5.4038
angles (deg): 131.70 131.70 70.71
Closest atoms and distances in Å follow each position.
Sites, in units of the cell vectors:
Si1 0.2500 0.7500 0.5000  4 Tl 3.12, 4 Si 3.12, 4 Cd 3.13
Si2 0.0000 0.0000 0.0000  4 Cd 3.12, 4 Si 3.12, 4 Tl 3.13
Cd1 0.7500 0.2500 0.5000  4 Tl 3.12, 8 Si 3.12-3.13
Tl1 0.5000 0.5000 0.0000  4 Cd 3.12, 8 Si 3.12-3.13

Its space group is I-4m2, No. 119. The calculation puts the total moment at 0.00 μB per cell. The value obtained for the calculated volume is 86.2 Å³ per cell.



ii) TlCdSi2: relaxed, PBE-GGA.

a b c (Å): 4.9673 4.9673 4.9673
angles (deg): 60.00 60.00 60.00
Closest atoms and distances in Å follow each position.
Sites, in units of the cell vectors:
Tl1 0.5000 0.5000 0.5000  8 Si 3.04
Cd1 0.0000 0.0000 0.0000  8 Si 3.04
Si1 0.7500 0.7500 0.7500  4 Cd 3.04, 4 Tl 3.04
Si2 0.2500 0.2500 0.2500  4 Cd 3.04, 4 Tl 3.04

Its space group is Fm-3m, No. 225. The calculation puts the total moment at 0.00 μB per cell. The value obtained for the calculated volume is 86.7 Å³ per cell.



Most favorable first, least favorable last: i), ii)



i) TlCdSi2: relaxed, PBE-GGA.

a b c (Å): 6.1670 6.1670 6.1670
angles (deg): 151.83 127.98 60.21
Closest atoms and distances in Å follow each position.
Sites, in units of the cell vectors:
Si1 0.0152 0.0152 0.0000  2 Cd 2.92, 6 Si 3.00-3.11, 2 Tl 3.20
Si2 0.4848 0.4848 0.0000  2 Cd 2.92, 6 Si 3.00-3.11, 2 Tl 3.20
Tl1 0.7500 0.2500 0.5000  2 Tl 3.00, 4 Cd 3.09, 4 Si 3.20
Cd1 0.2500 0.7500 0.5000  4 Si 2.92, 2 Cd 3.00, 4 Tl 3.09

Its space group is Immm, No. 71. The calculation puts the total moment at 0.00 μB per cell. The value obtained for the calculated volume is 86.6 Å³ per cell.



ii) TlCdSi2: relaxed, PBE-GGA.

a b c (Å): 3.7955 3.7955 7.7443
angles (deg): 78.23 78.23 59.89
Closest atoms and distances in Å follow each position.
Sites, in units of the cell vectors:
Si1 0.9781 0.9781 0.0562  3 Si 2.37
Si2 0.2784 0.2784 0.1758  3 Si 2.37
Tl1 0.5069 0.5069 0.4752  3 Si 3.05-3.19, 3 Cd 3.17-3.28
Cd1 0.7366 0.7366 0.7927  3 Si 2.87-3.00, 1 Tl 3.17

Its space group is Cm, No. 8. The calculation puts the total moment at 0.00 μB per cell. The value obtained for the calculated volume is 93.8 Å³ per cell.



iii) TlCdSi2: relaxed, PBE-GGA.

a b c (Å): 3.7050 3.7050 6.7276
angles (deg): 90.00 90.00 90.00
Closest atoms and distances in Å follow each position.
Sites, in units of the cell vectors:
Cd1 0.5000 0.5000 0.7500  8 Si 2.89
Si1 0.0000 0.0000 0.9303  1 Si 2.43
Si2 0.0000 0.0000 0.5697  1 Si 2.43
Tl1 0.5000 0.5000 0.2500  2 Cd 3.36, 8 Si 3.39, 4 Tl 3.70

Its space group is P4/mmm, No. 123. The calculation puts the total moment at 0.00 μB per cell. The value obtained for the calculated volume is 92.3 Å³ per cell.



Most favorable first, least favorable last: ii), iii), i)



i) TlCdSi2: relaxed, PBE-GGA.

a b c (Å): 3.1230 3.1230 8.9380
angles (deg): 90.00 90.00 90.00
Closest atoms and distances in Å follow each position.
Sites, in units of the cell vectors:
Cd1 0.5000 0.5000 0.7500  8 Si 2.97, 4 Cd 3.12
Si1 0.0000 0.0000 0.9723  4 Cd 2.97, 4 Si 3.12, 4 Tl 3.32
Si2 0.0000 0.0000 0.5277  4 Cd 2.97, 4 Si 3.12, 4 Tl 3.32
Tl1 0.5000 0.5000 0.2500  4 Tl 3.12, 8 Si 3.32

Its space group is P4/mmm, No. 123. The calculation puts the total moment at 0.00 μB per cell. The value obtained for the calculated volume is 87.2 Å³ per cell.



ii) TlCdSi2: relaxed, PBE-GGA.

a b c (Å): 6.4624 6.4624 7.0348
angles (deg): 62.66 62.66 90.00
Closest atoms and distances in Å follow each position.
Sites, in units of the cell vectors:
Si1 0.3750 0.3832 0.7500  2 Cd 2.62, 2 Tl 2.68
Si2 0.1332 0.6250 0.2500  2 Cd 2.62, 2 Tl 2.68
Si3 0.6168 0.1250 0.2500  2 Cd 2.62, 2 Tl 2.68
Si4 0.8750 0.8668 0.7500  2 Cd 2.62, 2 Tl 2.68
Cd1 0.2500 0.7500 0.5000  4 Si 2.62
Cd2 0.5000 0.5000 0.0000  4 Si 2.62
Tl1 0.7500 0.2500 0.5000  4 Si 2.68
Tl2 0.0000 0.0000 0.0000  4 Si 2.68

Its space group is I-42d, No. 122. The calculation puts the total moment at 0.00 μB per cell. The value obtained for the calculated volume is 223.4 Å³ per cell.



iii) TlCdSi2: relaxed, PBE-GGA.

a b c (Å): 10.8532 10.8532 10.8532
angles (deg): 16.24 16.24 16.24
Closest atoms and distances in Å follow each position.
Sites, in units of the cell vectors:
Cd1 0.7500 0.7500 0.7500  6 Si 3.04, 6 Cd 3.07
Si1 0.0063 0.0063 0.0063  3 Cd 3.04, 6 Si 3.07, 3 Tl 3.38
Si2 0.4937 0.4937 0.4937  3 Cd 3.04, 6 Si 3.07, 3 Tl 3.38
Tl1 0.2500 0.2500 0.2500  6 Tl 3.07, 6 Si 3.38

Its space group is R-3m, No. 166. The calculation puts the total moment at 0.00 μB per cell. The value obtained for the calculated volume is 87.2 Å³ per cell.



iv) TlCdSi2: relaxed, PBE-GGA.

a b c (Å): 5.5893 5.5893 5.5893
angles (deg): 135.11 135.11 65.36
Closest atoms and distances in Å follow each position.
Sites, in units of the cell vectors:
Si1 0.5000 0.5000 0.0000  4 Si 3.02, 4 Tl 3.18, 4 Cd 3.18
Si2 0.0000 0.0000 0.0000  4 Si 3.02, 4 Cd 3.18, 4 Tl 3.18
Cd1 0.7500 0.2500 0.5000  4 Tl 3.02, 8 Si 3.18
Tl1 0.2500 0.7500 0.5000  4 Cd 3.02, 8 Si 3.18

Its space group is I4/mmm, No. 139. The calculation puts the total moment at 0.00 μB per cell. The value obtained for the calculated volume is 85.7 Å³ per cell.



Most favorable first, least favorable last: i), iii), iv), ii)



i) TlCdSi2: relaxed, PBE-GGA.

a b c (Å): 5.0667 5.0667 5.9014
angles (deg): 73.03 73.03 43.70
Closest atoms and distances in Å follow each position.
Sites, in units of the cell vectors:
Si1 0.0047 0.0047 0.8790  2 Si 2.44, 1 Cd 2.73
Si2 0.4953 0.4953 0.6210  2 Si 2.44, 1 Cd 2.73
Cd1 0.7500 0.7500 0.7500  6 Si 2.73-2.89
Tl1 0.2500 0.2500 0.2500  6 Si 3.28-3.65, 4 Cd 3.50

Its space group is C2/m, No. 12. The calculation puts the total moment at 0.00 μB per cell. The value obtained for the calculated volume is 99.4 Å³ per cell.



ii) TlCdSi2: relaxed, PBE-GGA.

a b c (Å): 6.6294 6.6294 6.6294
angles (deg): 147.81 142.89 49.93
Closest atoms and distances in Å follow each position.
Sites, in units of the cell vectors:
Si1 0.9217 0.9217 0.0000  2 Si 2.40
Si2 0.7934 0.2934 0.5000  2 Si 2.40
Cd1 0.2443 0.7443 0.5000  6 Si 2.86-3.00
Tl1 0.5406 0.5406 0.0000  4 Si 3.14, 2 Cd 3.23

Its space group is Imm2, No. 44. The calculation puts the total moment at 0.00 μB per cell. The value obtained for the calculated volume is 93.2 Å³ per cell.



Most favorable first, least favorable last: ii), i)



i) TlCdSi2: relaxed, PBE-GGA.

a b c (Å): 3.8488 2.8511 8.2069
angles (deg): 89.68 90.00 90.00
Closest atoms and distances in Å follow each position.
Sites, in units of the cell vectors:
Si1 0.5000 0.2465 0.2009  2 Si 2.40
Si2 0.0000 0.2433 0.0252  2 Si 2.40
Cd1 0.5000 0.7377 0.7898  2 Cd 2.85, 4 Si 3.06-3.09
Tl1 0.0000 0.2725 0.4842  2 Tl 2.85, 2 Si 3.02

Its space group is Pm, No. 6. The calculation puts the total moment at 0.00 μB per cell. The value obtained for the calculated volume is 90.1 Å³ per cell.



ii) TlCdSi2: relaxed, PBE-GGA.

a b c (Å): 3.0875 3.0875 9.9586
angles (deg): 90.00 90.00 109.17
Closest atoms and distances in Å follow each position.
Sites, in units of the cell vectors:
Si1 0.0000 0.0000 0.0359  2 Si 2.44
Si2 0.5000 0.5000 0.2025  2 Si 2.44
Cd1 0.5000 0.5000 0.7856  2 Si 3.07, 4 Cd 3.09
Tl1 0.0000 0.0000 0.4759  4 Tl 3.09, 2 Si 3.26

Its space group is Cmm2, No. 35. The calculation puts the total moment at 0.00 μB per cell. The value obtained for the calculated volume is 89.7 Å³ per cell.



iii) TlCdSi2: relaxed, PBE-GGA.

a b c (Å): 3.4085 3.4085 7.7063
angles (deg): 90.00 90.00 90.00
Closest atoms and distances in Å follow each position.
Sites, in units of the cell vectors:
Tl1 0.0000 0.0000 0.4833  5 Si 3.17-3.50, 4 Cd 3.38, 4 Tl 3.41
Si1 0.0000 0.0000 0.0717  4 Si 2.49
Si2 0.5000 0.5000 0.1535  4 Si 2.49, 1 Cd 2.79
Cd1 0.5000 0.5000 0.7915  1 Si 2.79

Its space group is P4mm, No. 99. The calculation puts the total moment at 0.00 μB per cell. The value obtained for the calculated volume is 89.5 Å³ per cell.



iv) TlCdSi2: relaxed, PBE-GGA.

a b c (Å): 3.1790 5.1813 5.1827
angles (deg): 90.00 90.00 90.00
Closest atoms and distances in Å follow each position.
Sites, in units of the cell vectors:
Si1 0.5000 0.5000 0.0000  6 Si 3.04-3.18, 4 Cd 3.04
Si2 0.0000 0.0000 0.0000  6 Si 3.04-3.18, 4 Tl 3.04
Tl1 0.5000 0.0000 0.5000  4 Cd 3.04, 4 Si 3.04, 2 Tl 3.18
Cd1 0.0000 0.5000 0.5000  4 Tl 3.04, 4 Si 3.04, 2 Cd 3.18

Its space group is Pmmm, No. 47. The calculation puts the total moment at 0.00 μB per cell. The value obtained for the calculated volume is 85.4 Å³ per cell.



Most favorable first, least favorable last: iii), i), ii), iv)